Entry 1:
# AlNi3

Crystalline AlNi3 at its relaxed geometry (GGA-PBEsol, Alexandria).

Output
- symmetry = No. 139
- total magnetic moment (μB/atom) = 0.00
- calculated total energy (eV/atom) = -6.05

The structure in POSCAR format:
```
AlNi3
1.0
3.603 0.000 0.000
0.000 3.603 0.000
0.000 0.000 6.727
Al Ni
2 6
Direct
0.000 0.000 0.000 Al
0.500 0.500 0.500 Al
0.000 0.000 0.500 Ni
0.000 0.500 0.250 Ni
0.000 0.500 0.750 Ni
0.500 0.000 0.250 Ni
0.500 0.000 0.750 Ni
0.500 0.500 0.000 Ni
```


Entry 2:
# CsMg3Zn

Crystalline CsMg3Zn at its relaxed geometry (GGA-PBEsol, Alexandria).

Output
- symmetry = No. 221
- total magnetic moment (μB/atom) = 0.00
- calculated total energy (eV/atom) = -0.33

The structure in POSCAR format:
```
CsMg3Zn
1.0
7.207 0.000 0.000
0.000 7.207 0.000
0.000 0.000 7.207
Cs Mg Zn
1 3 1
Direct
0.000 0.000 0.000 Cs
0.000 0.000 0.500 Mg
0.000 0.500 0.000 Mg
0.500 0.000 0.000 Mg
0.500 0.500 0.500 Zn
```


Entry 3:
# PtAuBr2

Crystalline PtAuBr2 at its relaxed geometry (GGA-PBEsol, Alexandria).

Output
- symmetry = No. 160
- total magnetic moment (μB/atom) = 0.01
- formation energy (no corrections) (kJ/mol of atoms) = 3
- energy above the most stable polymorph in this dataset (kJ/mol of formula units) = 0
- calculated total energy (eV/atom) = -3.63

The structure in POSCAR format:
```
PtAuBr2
1.0
3.751 0.000 0.000
-1.876 3.249 0.000
0.000 0.000 22.130
Pt Au Br
3 3 6
Direct
0.000 0.000 0.000 Pt
0.333 0.667 0.667 Pt
0.667 0.333 0.333 Pt
0.000 0.000 0.264 Au
0.333 0.667 0.931 Au
0.667 0.333 0.598 Au
0.000 0.000 0.526 Br
0.000 0.000 0.728 Br
0.333 0.667 0.193 Br
0.333 0.667 0.394 Br
0.667 0.333 0.061 Br
0.667 0.333 0.859 Br
```